Density functional theory data (GGA-PBE) for crystalline PmHo3Tl2 at its relaxed geometry.

Unit cell a=8.6368 b=8.6368 c=9.2835 alpha=117.83 beta=117.83 gamma=36.34
With the nearest neighbours (Å) after each atom.
Fractional coordinates of all 12 atoms:
Pm 0.1311 0.1311 0.1714  5 Tl 3.26-3.55, 2 Ho 3.57
Pm 0.8689 0.8689 0.8286  5 Tl 3.26-3.55, 2 Ho 3.57
Ho 0.0596 0.0596 0.7148  3 Tl 3.37, 6 Ho 3.47-3.62, 1 Pm 3.76
Ho 0.3068 0.3068 0.0091  2 Tl 3.04-3.39, 2 Ho 3.23
Ho 0.3843 0.3843 0.4580  3 Tl 2.99-3.12
Ho 0.6157 0.6157 0.5420  3 Tl 2.99-3.12
Ho 0.6932 0.6932 0.9909  2 Tl 3.04-3.39, 2 Ho 3.23
Ho 0.9404 0.9404 0.2852  3 Tl 3.37, 6 Ho 3.47-3.62, 1 Pm 3.76
Tl 0.2224 0.2224 0.5941  5 Ho 3.12-3.46, 1 Pm 3.45
Tl 0.4809 0.4809 0.8274  1 Tl 2.95, 2 Ho 2.99-3.04, 2 Pm 3.26
Tl 0.5191 0.5191 0.1726  1 Tl 2.95, 2 Ho 2.99-3.04, 2 Pm 3.26
Tl 0.7776 0.7776 0.4059  5 Ho 3.12-3.46, 1 Pm 3.45

Its formation energy is -16.3 kJ/mol of atoms. The theoretical density comes out at 9.74 g/cm3. The calculation puts the energy relative to the lowest polymorph listed for this composition at 98 meV/atom.